A geometry-optimized Ga2Ag2Bi structure. Source: the Alexandria database, functional GGA-PBEsol.

It has space group P4/mbm (No. 127), with a = 7.8511 Å, b = 7.8511 Å, c = 3.2260 Å, α = 90.00°, β = 90.00° and γ = 90.00°. The inequivalent atoms are Ga at (0.1672, 0.3328, 0.0000), Ag at (0.1281, 0.6281, 0.5000) and Bi at (0.0000, 0.0000, 0.5000).

For the total DFT energy (no corrections), the calculation gives -3.46 eV/atom. As for the magnetic moment: 0.000 μB/atom.